# 1
DFT (GGA-PBE) results for an optimized crystal structure of PmPr2HgO.

The structure belongs to space group P4/mmm (No. 123); the cell edges are 5.014, 5.014 and 4.920 Å and the angles 90.00°, 90.00° and 90.00°. The inequivalent atoms are Pm at (0.000, 0.000, 0.000), Pr at (0.000, 0.500, 0.500), Hg at (0.500, 0.500, 0.000) and O at (0.000, 0.000, 0.500).

For the density of states at the Fermi level, the calculation gives 0.6502 states/eV/atom. The value obtained for the energy is -5.2415 eV/atom.

---

# 2
DFT (GGA-PBE) results for an optimized crystal structure of Pm2HgPtO5.

The structure belongs to space group P4/mbm (No. 127); the cell edges are 6.905, 6.905 and 5.704 Å and the angles 90.00°, 90.00° and 90.00°. The inequivalent atoms are Pm at (0.175, 0.325, 0.000), Hg at (0.000, 0.000, 0.500), Pt at (0.000, 0.500, 0.500), O at (0.000, 0.000, 0.000) and O at (0.134, 0.634, 0.239).

For the density of states at the Fermi level, the calculation gives 0.8882 states/eV/atom. The value obtained for the energy is -6.4127 eV/atom.

---

# 3
DFT (GGA-PBE) results for an optimized crystal structure of PmHgPtO4.

The structure belongs to space group Imma (No. 74); the cell edges are 6.355, 7.622 and 9.153 Å and the angles 90.00°, 90.00° and 90.00°. The inequivalent atoms are Pm at (0.000, 0.000, 0.000), Hg at (0.000, 0.250, 0.353), Pt at (0.250, 0.250, 0.750), O at (0.000, 0.076, 0.747) and O at (0.224, 0.250, 0.977).

For the density of states at the Fermi level, the calculation gives 0.2579 states/eV/atom. The value obtained for the energy is -5.7745 eV/atom.

---

# 4
DFT (GGA-PBE) results for an optimized crystal structure of PmPuHgO6.

The structure belongs to space group P-31c (No. 163); the cell edges are 5.6666, 5.6666 and 10.1170 Å and the angles 90.00°, 90.00° and 120.00°. The inequivalent atoms are Pm at (0.0000, 0.0000, 0.0000), Pu at (0.3333, 0.6667, 0.2500), Hg at (0.3333, 0.6667, 0.7500) and O at (0.0500, 0.3675, 0.1335).

The value obtained for the energy is -7.5625 eV/atom.

---

# 5
DFT (GGA-PBE) results for an optimized crystal structure of RbPmHgO3.

The structure belongs to space group P2_1/m (No. 11); the cell edges are 7.890, 3.632 and 9.502 Å and the angles 90.00°, 96.31° and 90.00°. The inequivalent atoms are Rb at (0.155, 0.250, 0.217), Pm at (0.370, 0.750, 0.872), Hg at (0.158, 0.250, 0.588), O at (0.169, 0.750, 0.454), O at (0.185, 0.250, 0.829) and O at (0.426, 0.750, 0.105).

The value obtained for the energy is -5.2039 eV/atom.

---

# 6
DFT (GGA-PBE) results for an optimized crystal structure of PmReHgO6.

The structure belongs to space group C2 (No. 5); the cell edges are 5.791, 10.257 and 5.303 Å and the angles 90.00°, 107.52° and 90.00°. The inequivalent atoms are Pm at (0.000, 0.000, 0.000), Re at (0.000, 0.649, 0.000), Hg at (0.000, 0.305, 0.500), O at (0.175, 0.812, 0.214), O at (0.206, 0.538, 0.227) and O at (0.215, 0.660, 0.803).

For the density of states at the Fermi level, the calculation gives 0.0000 states/eV/atom. The value obtained for the energy is -7.0030 eV/atom.

---

# 7
DFT (GGA-PBE) results for an optimized crystal structure of PmReHg2O6.

The structure belongs to space group R3 (No. 146, hexagonal axes); the cell edges are 5.8276, 5.8276 and 14.9929 Å and the angles 90.00°, 90.00° and 120.00°. The inequivalent atoms are Pm at (0.0000, 0.0000, 0.0000), Re at (0.0000, 0.0000, 0.4988), Hg at (0.0000, 0.0000, 0.2511), Hg at (0.0000, 0.0000, 0.7580), O at (0.0333, 0.4540, 0.2353) and O at (0.0869, 0.7122, 0.0869).

For the density of states at the Fermi level, the calculation gives 0.1667 states/eV/atom. The value obtained for the energy is -6.2523 eV/atom.

---

# 8
DFT (GGA-PBE) results for an optimized crystal structure of Pm2ReHgO8.

The structure belongs to space group C2/m (No. 12); the cell edges are 6.529, 7.012 and 7.718 Å and the angles 90.00°, 95.02° and 90.00°. The inequivalent atoms are Pm at (0.052, 0.000, 0.255), Re at (0.000, 0.500, 0.500), Hg at (0.000, 0.500, 0.000), O at (0.068, 0.314, 0.675), O at (0.192, 0.000, 0.985) and O at (0.222, 0.000, 0.549).

For the density of states at the Fermi level, the calculation gives 0.4628 states/eV/atom. The value obtained for the energy is -7.1609 eV/atom.

---

# 9
DFT (GGA-PBE) results for an optimized crystal structure of PmHgRuO6.

The structure belongs to space group C2 (No. 5); the cell edges are 5.739, 10.114 and 5.295 Å and the angles 90.00°, 105.05° and 90.00°. The inequivalent atoms are Pm at (0.000, 0.000, 0.000), Hg at (0.000, 0.321, 0.500), Ru at (0.000, 0.658, 0.000), O at (0.175, 0.826, 0.234), O at (0.196, 0.539, 0.219) and O at (0.223, 0.685, 0.821).

For the density of states at the Fermi level, the calculation gives 0.1462 states/eV/atom. The value obtained for the energy is -6.1482 eV/atom.

---

# 10
DFT (GGA-PBE) results for an optimized crystal structure of PmHgRu2O8.

The structure belongs to space group P-3 (No. 147); the cell edges are 6.2397, 6.2397 and 8.0955 Å and the angles 90.00°, 90.00° and 120.00°. The inequivalent atoms are Pm at (0.0000, 0.0000, 0.0000), Hg at (0.0000, 0.0000, 0.5000), Ru at (0.3333, 0.6667, 0.2381), O at (0.1761, 0.3572, 0.1605) and O at (0.3333, 0.6667, 0.4514).

For the density of states at the Fermi level, the calculation gives 0.6962 states/eV/atom. The value obtained for the energy is -6.4586 eV/atom.

---

# 11
DFT (GGA-PBE) results for an optimized crystal structure of PmHg2SO8.

The structure belongs to space group P-3m1 (No. 164); the cell edges are 5.4989, 5.4989 and 6.1392 Å and the angles 90.00°, 90.00° and 120.00°. The inequivalent atoms are Pm at (0.0000, 0.0000, 0.0000), Hg at (0.3333, 0.6667, 0.3965), S at (0.0000, 0.0000, 0.5000), O at (0.1412, 0.2824, 0.6617) and O at (0.3333, 0.6667, 0.0534).

For the density of states at the Fermi level, the calculation gives 0.6689 states/eV/atom. The value obtained for the energy is -4.7581 eV/atom.

---

# 12
DFT (GGA-PBE) results for an optimized crystal structure of PmHgSO6.

The structure belongs to space group P1 (No. 1); the cell edges are 5.684, 5.819 and 6.937 Å and the angles 89.57°, 81.15° and 61.99°. The inequivalent atoms are Pm at (0.000, 0.000, 0.000), Hg at (0.523, 0.968, 0.503), S at (0.700, 0.592, 0.995), O at (0.253, 0.951, 0.703), O at (0.425, 0.770, 0.106), O at (0.686, 0.401, 0.862), O at (0.788, 0.992, 0.301), O at (0.809, 0.752, 0.884) and O at (0.887, 0.436, 0.131).

For the density of states at the Fermi level, the calculation gives 0.5404 states/eV/atom. The value obtained for the energy is -5.8496 eV/atom.

---

# 13
DFT (GGA-PBE) results for an optimized crystal structure of PmHgS2O8.

The structure belongs to space group C2/m (No. 12); the cell edges are 9.298, 5.712 and 8.354 Å and the angles 90.00°, 96.25° and 90.00°. The inequivalent atoms are Pm at (0.000, 0.000, 0.000), Hg at (0.000, 0.000, 0.500), S at (0.171, 0.500, 0.225), O at (0.078, 0.288, 0.190), O at (0.215, 0.000, 0.888) and O at (0.233, 0.500, 0.394).

For the density of states at the Fermi level, the calculation gives 0.1744 states/eV/atom. The value obtained for the energy is -6.0974 eV/atom.

---

# 14
DFT (GGA-PBE) results for an optimized crystal structure of PmHg2SbO6.

The structure belongs to space group R-3 (No. 148, hexagonal axes); the cell edges are 5.7685, 5.7685 and 15.1816 Å and the angles 90.00°, 90.00° and 120.00°. The inequivalent atoms are Pm at (0.0000, 0.0000, 0.0000), Hg at (0.0000, 0.0000, 0.2398), Sb at (0.0000, 0.0000, 0.5000) and O at (0.0284, 0.4019, 0.2434).

The value obtained for the energy is -5.4056 eV/atom.

---

# 15
DFT (GGA-PBE) results for an optimized crystal structure of PmHgSb2O4.

The structure belongs to space group P4/mmm (No. 123); the cell edges are 3.933, 3.933 and 9.445 Å and the angles 90.00°, 90.00° and 90.00°. The inequivalent atoms are Pm at (0.000, 0.000, 0.000), Hg at (0.000, 0.000, 0.500), Sb at (0.500, 0.500, 0.257) and O at (0.000, 0.500, 0.156).

For the density of states at the Fermi level, the calculation gives 0.2890 states/eV/atom. The value obtained for the energy is -5.8184 eV/atom.

---

# 16
DFT (GGA-PBE) results for an optimized crystal structure of Pm2ScHgO.

The structure belongs to space group P4/mmm (No. 123); the cell edges are 4.958, 4.958 and 4.435 Å and the angles 90.00°, 90.00° and 90.00°. The inequivalent atoms are Pm at (0.000, 0.500, 0.000), Sc at (0.000, 0.000, 0.500), Hg at (0.500, 0.500, 0.500) and O at (0.000, 0.000, 0.000).

For the density of states at the Fermi level, the calculation gives 0.7440 states/eV/atom. The value obtained for the energy is -5.5809 eV/atom.

---

# 17
DFT (GGA-PBE) results for an optimized crystal structure of PmHgSeO5.

The structure belongs to space group C2/c (No. 15); the cell edges are 8.021, 9.922 and 8.405 Å and the angles 90.00°, 117.27° and 90.00°. The inequivalent atoms are Pm at (0.250, 0.250, 0.000), Hg at (0.000, 0.054, 0.250), Se at (0.000, 0.431, 0.250), O at (0.000, 0.171, 0.750), O at (0.034, 0.332, 0.107) and O at (0.190, 0.472, 0.863).

For the density of states at the Fermi level, the calculation gives 0.2908 states/eV/atom. The value obtained for the energy is -5.5100 eV/atom.

---

# 18
DFT (GGA-PBE) results for an optimized crystal structure of PmHgSe2O8.

The structure belongs to space group C2/m (No. 12); the cell edges are 9.430, 5.994 and 8.229 Å and the angles 90.00°, 95.17° and 90.00°. The inequivalent atoms are Pm at (0.000, 0.000, 0.000), Hg at (0.000, 0.000, 0.500), Se at (0.160, 0.500, 0.233), O at (0.056, 0.272, 0.203), O at (0.225, 0.000, 0.911) and O at (0.240, 0.500, 0.421).

For the density of states at the Fermi level, the calculation gives 0.3278 states/eV/atom. The value obtained for the energy is -5.4671 eV/atom.

---

# 19
DFT (GGA-PBE) results for an optimized crystal structure of PmHgSe2O6.

The structure belongs to space group C2/c (No. 15); the cell edges are 8.713, 10.653 and 8.150 Å and the angles 90.00°, 113.58° and 90.00°. The inequivalent atoms are Pm at (0.000, 0.033, 0.250), Hg at (0.000, 0.370, 0.750), Se at (0.209, 0.354, 0.287), O at (0.092, 0.105, 0.557), O at (0.222, 0.192, 0.279) and O at (0.242, 0.408, 0.106).

For the density of states at the Fermi level, the calculation gives 0.3781 states/eV/atom. The value obtained for the energy is -5.5406 eV/atom.

---

# 20
DFT (GGA-PBE) results for an optimized crystal structure of PmHg2SeO6.

The structure belongs to space group R-3 (No. 148, hexagonal axes); the cell edges are 5.7137, 5.7137 and 14.8838 Å and the angles 90.00°, 90.00° and 120.00°. The inequivalent atoms are Pm at (0.0000, 0.0000, 0.0000), Hg at (0.0000, 0.0000, 0.2423), Se at (0.0000, 0.0000, 0.5000) and O at (0.0350, 0.4100, 0.2422).

For the density of states at the Fermi level, the calculation gives 0.3336 states/eV/atom. The value obtained for the energy is -4.9252 eV/atom.

---

# 21
DFT (GGA-PBE) results for an optimized crystal structure of Pm2SiHgO6.

The structure belongs to space group P4mm (No. 99); the cell edges are 5.331, 5.331 and 5.034 Å and the angles 90.00°, 90.00° and 90.00°. The inequivalent atoms are Pm at (0.000, 0.500, 0.000), Si at (0.000, 0.000, 0.615), Hg at (0.500, 0.500, 0.519), O at (0.000, 0.000, 0.282), O at (0.221, 0.221, 0.733) and O at (0.500, 0.500, 0.099).

For the density of states at the Fermi level, the calculation gives 0.0000 states/eV/atom. The value obtained for the energy is -6.9227 eV/atom.